Density functional theory data (PBE) for TbSmSc2Bi4 after structural relaxation.

a = 4.403 Å, b = 7.626 Å, c = 7.606 Å
α = 109.51°, β = 90.00°, γ = 90.00°
Positions (direct):
Tb 0.500 0.500 0.000
Sm 0.000 0.000 0.000
Sc 0.500 0.000 0.500
Sc 0.000 0.500 0.500
Bi 0.500 0.258 0.269
Bi 0.500 0.742 0.731
Bi 0.000 0.246 0.733
Bi 0.000 0.754 0.267

calculated volume: 240.70 Å³ per cell
magnetic moment: 0.0 μB/cell



Density functional theory data (PBE) for TbSm2ScBi4 after structural relaxation.

a = 4.478 Å, b = 7.751 Å, c = 7.743 Å
α = 109.50°, β = 90.00°, γ = 90.00°
Positions (direct):
Tb 0.000 0.000 0.000
Sm 0.500 0.000 0.500
Sm 0.000 0.500 0.500
Sc 0.500 0.500 0.000
Bi 0.500 0.254 0.240
Bi 0.500 0.746 0.760
Bi 0.000 0.262 0.765
Bi 0.000 0.738 0.235

calculated volume: 253.33 Å³ per cell
magnetic moment: 0.0 μB/cell



Number 1: formation enthalpy at 0 K -774 meV per atom. Number 2: formation enthalpy at 0 K -835 meV per atom.